Here is an optimized crystal structure of GdPaGe2 from Alexandria via LeMat-Bulk. Energies are from PBE-GGA.

Properties
Offset from the most stable computed form   0 meV/atom
Energy of formation   -614 meV per atom
Spin magnetization   6.95 μB per formula unit

a b c (Å): 4.1919 4.1919 7.1779
angles (deg): 73.02 73.02 60.00
Closest atoms and distances in Å follow each position.
Atoms (fractional coordinates):
Gd 0.0000 0.0000 0.0000  6 Ge 3.00
Ge 0.7540 0.7540 0.7379  3 Pa 2.91, 3 Gd 3.00
Ge 0.2460 0.2460 0.2621  3 Pa 2.91, 3 Gd 3.00
Pa 0.5000 0.5000 0.5000  6 Ge 2.91